Compound: FeNiPdO4
Source: the Alexandria database
Functional: GGA+U
Structure: optimized geometry

abc: 5.822 6.138 5.782
angles: 118.10 90.00 118.31
Last column: magnetic moment on the atom in μB.
Sites, in units of the cell vectors:
1 Fe 0.500 0.000 0.500  1.19
2 Fe 0.500 0.000 0.000  1.19
3 Ni 0.867 0.734 0.117  1.78
4 Ni 0.133 0.266 0.883  1.78
5 Pd 0.500 0.500 0.500  0.48
6 Pd 0.000 0.500 0.500  0.48
7 O 0.716 0.432 0.712  0.05
8 O 0.270 0.002 0.251  0.11
9 O 0.732 0.002 0.251  0.11
10 O 0.716 0.432 0.220  0.05
11 O 0.284 0.568 0.780  0.05
12 O 0.730 0.998 0.749  0.11
13 O 0.268 0.998 0.749  0.11
14 O 0.284 0.568 0.288  0.05

## Properties
As for the space group: Imma, No. 74. As for the total energy: -75.09 eV per cell.